# 1
A relaxed structure of ZnB2Br, computed with PBE.

Computed properties:
As for the formation energy without anion corrections: 1973 meV per atom. As for the energy above the most stable polymorph in this dataset: 658 meV/atom.

abc: 6.216 6.216 6.216
angles: 90.00 90.00 90.00
Space group Fm-3m (No. 225)
Unique sites:
Zn 0.000 0.000 0.000 (multiplicity 4)
B 0.250 0.250 0.250 (multiplicity 8)
Br 0.000 0.000 0.500 (multiplicity 4)

# 2
A relaxed structure of ZnB3Br, computed with PBE.

Computed properties:
As for the formation energy without anion corrections: 2538 meV per atom. As for the energy above the most stable polymorph in this dataset: 649 meV/atom.

abc: 4.179 4.179 4.179
angles: 90.00 90.00 90.00
Space group Pm-3m (No. 221)
Unique sites:
Zn 0.000 0.000 0.000 (multiplicity 1)
B 0.000 0.500 0.500 (multiplicity 3)
Br 0.500 0.500 0.500 (multiplicity 1)

# 3
A relaxed structure of Zr2BBr, computed with PBE.

Computed properties:
As for the formation energy without anion corrections: -53 meV per atom. As for the energy above the most stable polymorph in this dataset: 0 meV/atom.

abc: 5.771 5.771 11.048
angles: 90.00 90.00 90.00
Space group I-42d (No. 122)
Unique sites:
Zr 0.177 0.250 0.125 (multiplicity 8)
B 0.000 0.000 0.000 (multiplicity 4)
Br 0.000 0.000 0.500 (multiplicity 4)

# 4
A relaxed structure of ZrBBr2, computed with PBE.

Computed properties:
As for the formation energy without anion corrections: 585 meV per atom. As for the energy above the most stable polymorph in this dataset: 465 meV/atom.

abc: 6.730 6.730 6.730
angles: 90.00 90.00 90.00
Space group Fm-3m (No. 225)
Unique sites:
Zr 0.000 0.000 0.000 (multiplicity 4)
B 0.000 0.000 0.500 (multiplicity 4)
Br 0.250 0.250 0.250 (multiplicity 8)

# 5
A relaxed structure of ZrBBr, computed with PBE.

Computed properties:
As for the formation energy without anion corrections: -1100 meV per atom. As for the energy above the most stable polymorph in this dataset: 0 meV/atom.

abc: 5.822 3.361 11.530
angles: 90.00 99.82 90.00
Space group C2/m (No. 12)
Unique sites:
Zr 0.049 0.000 0.145 (multiplicity 4)
B 0.167 0.500 0.000 (multiplicity 4)
Br 0.226 0.000 0.681 (multiplicity 4)

# 6
A relaxed structure of Zr2BBr2, computed with PBE.

Computed properties:
As for the formation energy without anion corrections: -1158 meV per atom.

abc: 3.5875 3.5875 31.7301
angles: 90.00 90.00 120.00
Space group R-3m (No. 166, hexagonal axes)
Unique sites:
Zr 0.0000 0.0000 0.1266 (multiplicity 6)
B 0.0000 0.0000 0.5000 (multiplicity 3)
Br 0.0000 0.0000 0.2668 (multiplicity 6)

# 7
A relaxed structure of ZrB3Br, computed with PBE.

Computed properties:
As for the formation energy without anion corrections: 1995 meV per atom. As for the energy above the most stable polymorph in this dataset: 0 meV/atom.

abc: 4.110 4.110 4.110
angles: 90.00 90.00 90.00
Space group Pm-3m (No. 221)
Unique sites:
Zr 0.000 0.000 0.000 (multiplicity 1)
B 0.000 0.500 0.500 (multiplicity 3)
Br 0.500 0.500 0.500 (multiplicity 1)

# 8
A relaxed structure of ZrBBr3, computed with PBE.

Computed properties:
As for the formation energy without anion corrections: 291 meV per atom.

abc: 5.341 5.341 5.341
angles: 90.00 90.00 90.00
Space group Pm-3m (No. 221)
Unique sites:
Zr 0.000 0.000 0.000 (multiplicity 1)
B 0.500 0.500 0.500 (multiplicity 1)
Br 0.000 0.000 0.500 (multiplicity 3)

# 9
A relaxed structure of ZrB3Br, computed with PBE.

Computed properties:
As for the formation energy without anion corrections: 2002 meV per atom. As for the energy above the most stable polymorph in this dataset: 7 meV/atom.

abc: 4.724 4.724 4.724
angles: 90.00 90.00 90.00
Space group Pm-3m (No. 221)
Unique sites:
Zr 0.000 0.000 0.000 (multiplicity 1)
B 0.000 0.000 0.500 (multiplicity 3)
Br 0.500 0.500 0.500 (multiplicity 1)

# 10
A relaxed structure of Zr2BBr, computed with PBE.

Computed properties:
As for the formation energy without anion corrections: 86 meV per atom. As for the energy above the most stable polymorph in this dataset: 139 meV/atom.

abc: 6.487 6.487 6.487
angles: 90.00 90.00 90.00
Space group Fm-3m (No. 225)
Unique sites:
Zr 0.250 0.250 0.250 (multiplicity 8)
B 0.000 0.000 0.000 (multiplicity 4)
Br 0.000 0.000 0.500 (multiplicity 4)

# 11
A relaxed structure of ZrBBr2, computed with PBE.

Computed properties:
As for the formation energy without anion corrections: 714 meV per atom. As for the energy above the most stable polymorph in this dataset: 594 meV/atom.

abc: 3.5134 3.5134 25.4477
angles: 90.00 90.00 120.00
Space group R-3m (No. 166, hexagonal axes)
Unique sites:
Zr 0.0000 0.0000 0.0000 (multiplicity 3)
B 0.0000 0.0000 0.5000 (multiplicity 3)
Br 0.0000 0.0000 0.1035 (multiplicity 6)

# 12
A relaxed structure of Zr3BBr, computed with PBE.

Computed properties:
As for the formation energy without anion corrections: 94 meV per atom. As for the energy above the most stable polymorph in this dataset: 0 meV/atom.

abc: 4.712 4.712 4.712
angles: 90.00 90.00 90.00
Space group Pm-3m (No. 221)
Unique sites:
Zr 0.000 0.000 0.500 (multiplicity 3)
B 0.000 0.000 0.000 (multiplicity 1)
Br 0.500 0.500 0.500 (multiplicity 1)

# 13
A relaxed structure of ZrBBr2, computed with PBE.

Computed properties:
As for the formation energy without anion corrections: 120 meV per atom. As for the energy above the most stable polymorph in this dataset: 0 meV/atom.

abc: 10.136 10.136 4.593
angles: 90.00 90.00 90.00
Space group I-42d (No. 122)
Unique sites:
Zr 0.000 0.000 0.000 (multiplicity 4)
B 0.000 0.000 0.500 (multiplicity 4)
Br 0.083 0.250 0.125 (multiplicity 8)

# 14
A relaxed structure of BC, computed with PBE.

Computed properties:
The energy relative to the elements is 0.28 eV/atom. As for the energy above the most stable polymorph in this dataset: 133 meV/atom.

abc: 2.6821 2.6821 43.7988
angles: 90.00 90.00 120.00
Space group R3m (No. 160, hexagonal axes)
Unique sites:
B 0.0000 0.0000 0.0000 (multiplicity 3)
B 0.0000 0.0000 0.0943 (multiplicity 3)
B 0.0000 0.0000 0.5194 (multiplicity 3)
B 0.0000 0.0000 0.6252 (multiplicity 3)
B 0.0000 0.0000 0.8943 (multiplicity 3)
C 0.0000 0.0000 0.2436 (multiplicity 3)
C 0.0000 0.0000 0.2759 (multiplicity 3)
C 0.0000 0.0000 0.4277 (multiplicity 3)
C 0.0000 0.0000 0.6630 (multiplicity 3)
C 0.0000 0.0000 0.8565 (multiplicity 3)

# 15
A relaxed structure of B3C7, computed with PBE.

Computed properties:
The energy relative to the elements is 0.31 eV/atom. As for the energy above the most stable polymorph in this dataset: 48 meV/atom.

abc: 2.5898 2.5898 32.5290
angles: 90.00 90.00 120.00
Space group R3m (No. 160, hexagonal axes)
Unique sites:
B 0.0000 0.0000 0.0000 (multiplicity 3)
B 0.0000 0.0000 0.2022 (multiplicity 3)
B 0.0000 0.0000 0.4491 (multiplicity 3)
C 0.0000 0.0000 0.0517 (multiplicity 3)
C 0.0000 0.0000 0.2515 (multiplicity 3)
C 0.0000 0.0000 0.3983 (multiplicity 3)
C 0.0000 0.0000 0.6011 (multiplicity 3)
C 0.0000 0.0000 0.6480 (multiplicity 3)
C 0.0000 0.0000 0.8029 (multiplicity 3)
C 0.0000 0.0000 0.8468 (multiplicity 3)

# 16
A relaxed structure of B7C5, computed with PBE.

Computed properties:
The energy relative to the elements is 0.41 eV/atom. As for the energy above the most stable polymorph in this dataset: 243 meV/atom.

abc: 9.206 2.696 7.983
angles: 90.00 91.45 90.00
Space group Cm (No. 8)
Unique sites:
B 0.000 0.000 0.000 (multiplicity 2)
B 0.009 0.000 0.382 (multiplicity 2)
B 0.254 0.500 0.448 (multiplicity 2)
B 0.271 0.000 0.211 (multiplicity 2)
B 0.312 0.500 0.914 (multiplicity 2)
B 0.397 0.000 0.639 (multiplicity 2)
B 0.466 0.000 0.218 (multiplicity 2)
C 0.067 0.500 0.059 (multiplicity 2)
C 0.185 0.000 0.387 (multiplicity 2)
C 0.234 0.500 0.093 (multiplicity 2)
C 0.338 0.000 0.823 (multiplicity 2)
C 0.411 0.500 0.541 (multiplicity 2)

# 17
A relaxed structure of B3C5, computed with PBE.

Computed properties:
The energy relative to the elements is 0.33 eV/atom. As for the energy above the most stable polymorph in this dataset: 52 meV/atom.

abc: 8.315 2.560 4.684
angles: 90.00 92.65 90.00
Space group Cm (No. 8)
Unique sites:
B 0.000 0.000 0.000 (multiplicity 2)
B 0.109 0.500 0.810 (multiplicity 2)
B 0.328 0.500 0.702 (multiplicity 2)
C 0.049 0.500 0.475 (multiplicity 2)
C 0.088 0.000 0.308 (multiplicity 2)
C 0.266 0.000 0.232 (multiplicity 2)
C 0.296 0.500 0.049 (multiplicity 2)
C 0.364 0.000 0.523 (multiplicity 2)

# 18
A relaxed structure of BC, computed with PBE.

Computed properties:
The energy relative to the elements is 0.27 eV/atom. As for the energy above the most stable polymorph in this dataset: 123 meV/atom.

abc: 3.764 3.834 6.083
angles: 74.26 89.25 87.53
Space group P-1 (No. 2)
Unique sites:
B 0.100 0.340 0.116 (multiplicity 2)
B 0.186 0.739 0.378 (multiplicity 2)
B 0.295 0.282 0.852 (multiplicity 2)
C 0.135 0.001 0.742 (multiplicity 2)
C 0.379 0.847 0.582 (multiplicity 2)
C 0.389 0.468 0.267 (multiplicity 2)

# 19
A relaxed structure of B7C5, computed with PBE.

Computed properties:
The energy relative to the elements is 0.40 eV/atom. As for the energy above the most stable polymorph in this dataset: 231 meV/atom.

abc: 13.550 2.429 5.045
angles: 90.00 100.87 90.00
Space group Cm (No. 8)
Unique sites:
B 0.000 0.000 0.000 (multiplicity 2)
B 0.000 0.000 0.443 (multiplicity 2)
B 0.086 0.000 0.766 (multiplicity 2)
B 0.172 0.500 0.311 (multiplicity 2)
B 0.183 0.500 0.811 (multiplicity 2)
B 0.400 0.000 0.931 (multiplicity 2)
B 0.402 0.000 0.418 (multiplicity 2)
C 0.090 0.000 0.269 (multiplicity 2)
C 0.257 0.500 0.106 (multiplicity 2)
C 0.260 0.500 0.599 (multiplicity 2)
C 0.319 0.000 0.136 (multiplicity 2)
C 0.323 0.000 0.631 (multiplicity 2)

# 20
A relaxed structure of BC, computed with PBE.

Computed properties:
The energy relative to the elements is 0.43 eV/atom. As for the energy above the most stable polymorph in this dataset: 282 meV/atom.

abc: 2.6826 2.6826 14.9538
angles: 90.00 90.00 120.00
Space group P3m1 (No. 156)
Unique sites:
B 0.0000 0.0000 0.0000 (multiplicity 1)
B 0.0000 0.0000 0.1224 (multiplicity 1)
B 0.0000 0.0000 0.4437 (multiplicity 1)
B 0.0000 0.0000 0.7182 (multiplicity 1)
B 0.3333 0.6667 0.1798 (multiplicity 1)
B 0.6667 0.3333 0.8725 (multiplicity 1)
C 0.3333 0.6667 0.2862 (multiplicity 1)
C 0.3333 0.6667 0.7301 (multiplicity 1)
C 0.3333 0.6667 0.8372 (multiplicity 1)
C 0.6667 0.3333 0.3208 (multiplicity 1)
C 0.6667 0.3333 0.4309 (multiplicity 1)
C 0.6667 0.3333 0.9931 (multiplicity 1)